1.
The following is a DFT calculation (PBE-GGA) of crystalline Er3Co5H12 at its relaxed geometry.

```
data_Er3Co5H12
_chemical_formula_sum 'Er24 Co40 H96'
_space_group_name_H-M_alt 'I a -3 d'
_space_group_IT_number 230
_space_group_name_Hall '-I 4bd 2c 3'
_cell_length_a 11.0409
_cell_length_b 11.0409
_cell_length_c 11.0409
_cell_angle_alpha 90.00
_cell_angle_beta 90.00
_cell_angle_gamma 90.00
loop_
_atom_site_label
_atom_site_type_symbol
_atom_site_fract_x
_atom_site_fract_y
_atom_site_fract_z
_atom_site_occupancy
Er1 Er 0.0000 0.2500 0.1250 1
Co1 Co 0.0000 0.0000 0.0000 1
Co2 Co 0.0000 0.2500 0.3750 1
H1 H 0.0347 0.0500 0.6410 1
```

Uncorrected energy, eV/atom: -4.716
Magnetic moment, Bohr magnetons per cell: 0.00

=====

2.
The following is a DFT calculation (PBE-GGA) of crystalline HfTaPb3 at its relaxed geometry.

```
data_HfTaPb3
_chemical_formula_sum 'Hf1 Ta1 Pb3'
_space_group_name_H-M_alt 'P m -3 m'
_space_group_IT_number 221
_space_group_name_Hall '-P 4 2 3'
_cell_length_a 5.4439
_cell_length_b 5.4439
_cell_length_c 5.4439
_cell_angle_alpha 90.00
_cell_angle_beta 90.00
_cell_angle_gamma 90.00
loop_
_atom_site_label
_atom_site_type_symbol
_atom_site_fract_x
_atom_site_fract_y
_atom_site_fract_z
_atom_site_occupancy
Hf1 Hf 0.0000 0.0000 0.0000 1
Ta1 Ta 0.5000 0.5000 0.5000 1
Pb1 Pb 0.0000 0.5000 0.5000 1
```

Uncorrected energy, eV/atom: -5.473
E_form, meV/atom: 1113
Magnetic moment, Bohr magnetons per cell: 0.00
Offset from the most stable computed form, meV per atom: 0

=====

3.
The following is a DFT calculation (PBE-GGA) of crystalline HgPtO2 at its relaxed geometry.

```
data_HgPtO2
_chemical_formula_sum 'Hg4 Pt4 O8'
_space_group_name_H-M_alt 'I -4 2 d'
_space_group_IT_number 122
_space_group_name_Hall 'I -4 2bw'
_cell_length_a 5.6402
_cell_length_b 5.6402
_cell_length_c 9.2090
_cell_angle_alpha 90.00
_cell_angle_beta 90.00
_cell_angle_gamma 90.00
loop_
_atom_site_label
_atom_site_type_symbol
_atom_site_fract_x
_atom_site_fract_y
_atom_site_fract_z
_atom_site_occupancy
Hg1 Hg 0.0000 0.0000 0.0000 1
Pt1 Pt 0.0000 0.0000 0.5000 1
O1 O 0.1541 0.2500 0.6250 1
```

Uncorrected energy, eV/atom: -3.881
Formation energy (no corrections), eV per atom: 0.18
Magnetic moment, Bohr magnetons per cell: 0.00

=====

4.
The following is a DFT calculation (PBE-GGA) of crystalline Nd4Sb2TePb at its relaxed geometry.

```
data_Nd4Sb2TePb
_chemical_formula_sum 'Nd4 Sb2 Te1 Pb1'
_space_group_name_H-M_alt 'P 1 2/m 1'
_space_group_IT_number 10
_space_group_name_Hall '-P 2y'
_cell_length_a 7.8673
_cell_length_b 4.5112
_cell_length_c 7.8685
_cell_angle_alpha 90.00
_cell_angle_beta 109.19
_cell_angle_gamma 90.00
loop_
_atom_site_label
_atom_site_type_symbol
_atom_site_fract_x
_atom_site_fract_y
_atom_site_fract_z
_atom_site_occupancy
Nd1 Nd 0.2438 0.0000 0.2444 1
Nd2 Nd 0.2455 0.5000 0.7490 1
Sb1 Sb 0.0000 0.0000 0.5000 1
Sb2 Sb 0.0000 0.5000 0.0000 1
Te1 Te 0.5000 0.5000 0.5000 1
Pb1 Pb 0.5000 0.0000 0.0000 1
```

Uncorrected energy, eV/atom: -5.387
Formation energy (no corrections), eV per atom: -1.12
Magnetic moment, Bohr magnetons per cell: 0.00

=====

5.
The following is a DFT calculation (PBE-GGA) of crystalline YPb6 at its relaxed geometry.

```
data_YPb6
_chemical_formula_sum 'Y2 Pb12'
_space_group_name_H-M_alt 'I m -3 m'
_space_group_IT_number 229
_space_group_name_Hall '-I 4 2 3'
_cell_length_a 8.5158
_cell_length_b 8.5158
_cell_length_c 8.5158
_cell_angle_alpha 90.00
_cell_angle_beta 90.00
_cell_angle_gamma 90.00
loop_
_atom_site_label
_atom_site_type_symbol
_atom_site_fract_x
_atom_site_fract_y
_atom_site_fract_z
_atom_site_occupancy
Y1 Y 0.0000 0.0000 0.0000 1
Pb1 Pb 0.0000 0.2500 0.5000 1
```

Uncorrected energy, eV/atom: -3.457
E_form, meV/atom: 645
Magnetic moment, Bohr magnetons per cell: 1.19

=====

6.
The following is a DFT calculation (PBE-GGA) of crystalline BeAgN at its relaxed geometry.

```
data_BeAgN
_chemical_formula_sum 'Be2 Ag2 N2'
_space_group_name_H-M_alt 'P 63/m m c'
_space_group_IT_number 194
_space_group_name_Hall '-P 6c 2c'
_cell_length_a 2.9220
_cell_length_b 2.9220
_cell_length_c 8.6750
_cell_angle_alpha 90.00
_cell_angle_beta 90.00
_cell_angle_gamma 120.00
loop_
_atom_site_label
_atom_site_type_symbol
_atom_site_fract_x
_atom_site_fract_y
_atom_site_fract_z
_atom_site_occupancy
Be1 Be 0.3333 0.6667 0.2500 1
Ag1 Ag 0.0000 0.0000 0.0000 1
N1 N 0.3333 0.6667 0.7500 1
```

Uncorrected energy, eV/atom: -5.079
Formation energy (no corrections), eV per atom: -0.11
Magnetic moment, Bohr magnetons per cell: 0.00